[1]
DFT (SCAN) results for a PBEsol-optimized structure of SnW2O8.

Calculated values
The formation energy from raw total energies is -2.054 eV/atom.

a = 4.9563 Å, b = 5.8224 Å, c = 10.6420 Å
α = 90.00°, β = 117.56°, γ = 90.00°
Closest atoms and distances in Å follow each position.
Fractional coordinates of all 22 atoms:
Sn1 0.0000 0.1676 0.2500  6 O 2.03-2.10
Sn2 0.0000 0.8324 0.7500  6 O 2.03-2.10
W1 0.2229 0.3253 0.9866  3 O 1.79-1.82
W2 0.2229 0.6747 0.4866  3 O 1.79-1.82
W3 0.7771 0.3253 0.5134  3 O 1.79-1.82
W4 0.7771 0.6747 0.0134  3 O 1.79-1.82
O1 0.1731 0.3954 0.6119  1 W 1.79
O2 0.1731 0.6046 0.1119  1 W 1.79
O3 0.2215 0.1551 0.1301  1 W 1.82, 1 Sn 2.03
O4 0.2215 0.8449 0.6301  1 W 1.82, 1 Sn 2.03
O5 0.2554 0.1022 0.8780  1 W 1.79
O6 0.2554 0.8978 0.3780  1 W 1.79
O7 0.3193 0.3963 0.3949  2 W 2.06, 1 Sn 2.10
O8 0.3193 0.6037 0.8949  2 W 2.06, 1 Sn 2.10
O9 0.6807 0.3963 0.1051  2 W 2.06, 1 Sn 2.10
O10 0.6807 0.6037 0.6051  2 W 2.06, 1 Sn 2.10
O11 0.7446 0.1022 0.6220  1 W 1.79
O12 0.7446 0.8978 0.1220  1 W 1.79
O13 0.7785 0.1551 0.3699  1 W 1.82, 1 Sn 2.03
O14 0.7785 0.8449 0.8699  1 W 1.82, 1 Sn 2.03
O15 0.8269 0.3954 0.8881  1 W 1.79
O16 0.8269 0.6046 0.3881  1 W 1.79

=====

[2]
DFT (SCAN) results for a PBEsol-optimized structure of CaCu2.

Calculated values
The calculated formation energy comes out at -45.7 meV per atom.

a = 9.8056 Å, b = 4.9453 Å, c = 4.2958 Å
α = 90.00°, β = 90.00°, γ = 90.00°
Closest atoms and distances in Å follow each position.
Fractional coordinates of all 12 atoms:
Ca1 0.0000 0.2377 0.2500  8 Cu 2.83-3.07
Ca2 0.0000 0.7623 0.7500  8 Cu 2.83-3.07
Ca3 0.5000 0.2623 0.7500  8 Cu 2.83-3.07
Ca4 0.5000 0.7377 0.2500  8 Cu 2.83-3.07
Cu1 0.2153 0.3603 0.7500  6 Cu 2.50-2.56
Cu2 0.2153 0.6397 0.2500  6 Cu 2.50-2.56
Cu3 0.2847 0.1397 0.2500  6 Cu 2.50-2.56
Cu4 0.2847 0.8603 0.7500  6 Cu 2.50-2.56
Cu5 0.7153 0.1397 0.2500  6 Cu 2.50-2.56
Cu6 0.7153 0.8603 0.7500  6 Cu 2.50-2.56
Cu7 0.7847 0.3603 0.7500  6 Cu 2.50-2.56
Cu8 0.7847 0.6397 0.2500  6 Cu 2.50-2.56

=====

[3]
DFT (SCAN) results for a PBEsol-optimized structure of MgSi2Bi.

Calculated values
The formation energy from raw total energies is 0.576 eV/atom.

a = 6.3299 Å, b = 6.3299 Å, c = 11.6656 Å
α = 90.00°, β = 90.00°, γ = 90.00°
Closest atoms and distances in Å follow each position.
Fractional coordinates of all 16 atoms:
Mg1 0.0000 0.0000 0.0000  4 Si 2.64
Mg2 0.0000 0.5000 0.2500  4 Si 2.64
Mg3 0.5000 0.0000 0.7500  4 Si 2.64
Mg4 0.5000 0.5000 0.5000  4 Si 2.64
Si1 0.2425 0.2500 0.1250  2 Mg 2.64, 2 Bi 2.70
Si2 0.2500 0.7425 0.3750  2 Mg 2.64, 2 Bi 2.70
Si3 0.2500 0.7575 0.8750  2 Mg 2.64, 2 Bi 2.70
Si4 0.2575 0.2500 0.6250  2 Mg 2.64, 2 Bi 2.70
Si5 0.7425 0.7500 0.6250  2 Mg 2.64, 2 Bi 2.70
Si6 0.7500 0.2425 0.8750  2 Mg 2.64, 2 Bi 2.70
Si7 0.7500 0.2575 0.3750  2 Mg 2.64, 2 Bi 2.70
Si8 0.7575 0.7500 0.1250  2 Mg 2.64, 2 Bi 2.70
Bi1 0.0000 0.0000 0.5000  4 Si 2.70
Bi2 0.0000 0.5000 0.7500  4 Si 2.70
Bi3 0.5000 0.0000 0.2500  4 Si 2.70
Bi4 0.5000 0.5000 0.0000  4 Si 2.70